No. 1
# InAu4Cl

A geometry-optimized InAu4Cl structure (PBE, the Alexandria database).

E ... -3.043 eV/atom
Size of the total moment ... 0.00 μB/f.u.
Formation energy (no corrections) ... -0.094 eV/atom
Density ... 12.4 g/cm³
N(E_F) ... 0.5 states/eV/cell

Unit cell a=5.628 b=5.628 c=5.628 alpha=60.00 beta=60.00 gamma=60.00
Fractional coordinates of all 6 atoms:
In  0.000  0.000  0.000
Au  0.875  0.375  0.375
Au  0.375  0.375  0.875
Au  0.375  0.875  0.375
Au  0.375  0.375  0.375
Cl  0.750  0.750  0.750


No. 2
# InAuCl2

A geometry-optimized InAuCl2 structure (PBE, the Alexandria database).

E ... -2.661 eV/atom
Size of the total moment ... 0.00 μB/f.u.
Formation energy (no corrections) ... -0.234 eV/atom
ΔE to the lowest computed polymorph ... 0.333 eV/atom
Density ... 6.2 g/cm³
N(E_F) ... 1.3 states/eV/cell

Unit cell a=5.130 b=5.130 c=5.096 alpha=66.71 beta=66.71 gamma=101.75
Fractional coordinates of all 4 atoms:
Cl  0.000  0.000  0.000
Cl  0.500  0.500  0.000
Au  0.000  0.500  0.500
In  0.500  0.000  0.500


No. 3
# In2AuCl8

A geometry-optimized In2AuCl8 structure (PBE, the Alexandria database).

E ... -2.934 eV/atom
Size of the total moment ... 1.04 μB/f.u.
Formation energy (no corrections) ... -0.795 eV/atom
Density ... 2.9 g/cm³
N(E_F) ... 0.3 states/eV/cell

Unit cell a=8.294 b=7.586 c=7.586 alpha=58.29 beta=97.69 gamma=97.69
Fractional coordinates of all 11 atoms:
In  0.311  0.224  0.224
In  0.689  0.776  0.776
Au  0.000  0.000  0.000
Cl  0.853  0.115  0.657
Cl  0.147  0.343  0.885
Cl  0.582  0.192  0.192
Cl  0.418  0.808  0.808
Cl  0.853  0.657  0.115
Cl  0.147  0.885  0.343
Cl  0.259  0.392  0.392
Cl  0.741  0.608  0.608


No. 4
# InAuCl

A geometry-optimized InAuCl structure (PBE, the Alexandria database).

E ... -2.818 eV/atom
Size of the total moment ... 0.00 μB/f.u.
Formation energy (no corrections) ... -0.197 eV/atom
ΔE to the lowest computed polymorph ... 0.134 eV/atom
Density ... 8.3 g/cm³
N(E_F) ... 1.1 states/eV/cell

Unit cell a=6.205 b=6.205 c=6.205 alpha=147.39 beta=147.39 gamma=46.78
Fractional coordinates of all 3 atoms:
Cl  0.324  0.324  0.000
Au  0.024  0.024  0.000
In  0.652  0.652  0.000


No. 5
# InAuCl2

A geometry-optimized InAuCl2 structure (PBE, the Alexandria database).

E ... -2.912 eV/atom
Size of the total moment ... 0.00 μB/f.u.
Formation energy (no corrections) ... -0.484 eV/atom
ΔE to the lowest computed polymorph ... 0.082 eV/atom
Density ... 5.4 g/cm³
N(E_F) ... 0.4 states/eV/cell

Unit cell a=6.390 b=6.390 c=7.121 alpha=54.06 beta=54.06 gamma=30.79
Fractional coordinates of all 4 atoms:
Cl  0.942  0.942  0.963
Cl  0.838  0.838  0.620
Au  0.215  0.215  0.314
In  0.505  0.505  0.603


No. 6
# InAuCl2

A geometry-optimized InAuCl2 structure (PBE, the Alexandria database).

E ... -2.597 eV/atom
Size of the total moment ... 0.00 μB/f.u.
Formation energy (no corrections) ... -0.170 eV/atom
ΔE to the lowest computed polymorph ... 0.397 eV/atom
Density ... 6.8 g/cm³
N(E_F) ... 0.1 states/eV/cell

Unit cell a=3.528 b=3.537 c=7.540 alpha=90.00 beta=90.00 gamma=90.00
Fractional coordinates of all 4 atoms:
Cl  0.000  0.000  0.975
Cl  0.000  0.000  0.525
Au  0.500  0.500  0.750
In  0.500  0.500  0.250


No. 7
# InAuCl2

A geometry-optimized InAuCl2 structure (PBE, the Alexandria database).

E ... -2.619 eV/atom
Size of the total moment ... 0.00 μB/f.u.
Formation energy (no corrections) ... -0.191 eV/atom
ΔE to the lowest computed polymorph ... 0.375 eV/atom
Density ... 6.3 g/cm³
N(E_F) ... 1.4 states/eV/cell

Unit cell a=3.888 b=6.286 c=4.149 alpha=90.00 beta=90.00 gamma=90.00
Fractional coordinates of all 4 atoms:
Cl  0.000  0.000  0.000
Cl  0.500  0.500  0.000
Au  0.000  0.500  0.500
In  0.500  0.000  0.500


No. 8
# InAuCl

A geometry-optimized InAuCl structure (PBE, the Alexandria database).

E ... -2.952 eV/atom
Size of the total moment ... 0.00 μB/f.u.
Formation energy (no corrections) ... -0.331 eV/atom
ΔE to the lowest computed polymorph ... 0.000 eV/atom
Density ... 7.5 g/cm³
N(E_F) ... 0.8 states/eV/cell

Unit cell a=4.020 b=4.020 c=5.489 alpha=90.00 beta=90.00 gamma=120.00
Fractional coordinates of all 3 atoms:
Cl  0.667  0.333  0.355
Au  0.000  0.000  0.954
In  0.333  0.667  0.692


No. 9
# InAuCl2

A geometry-optimized InAuCl2 structure (PBE, the Alexandria database).

E ... -2.567 eV/atom
Size of the total moment ... 0.00 μB/f.u.
Formation energy (no corrections) ... -0.139 eV/atom
ΔE to the lowest computed polymorph ... 0.427 eV/atom
Density ... 6.7 g/cm³
N(E_F) ... 0.0 states/eV/cell

Unit cell a=5.120 b=5.120 c=5.120 alpha=60.00 beta=60.00 gamma=60.00
Fractional coordinates of all 4 atoms:
Cl  0.250  0.250  0.250
Cl  0.750  0.750  0.750
Au  0.500  0.500  0.500
In  0.000  0.000  0.000


No. 10
# InAu2Cl

A geometry-optimized InAu2Cl structure (PBE, the Alexandria database).

E ... -2.989 eV/atom
Size of the total moment ... 0.00 μB/f.u.
Formation energy (no corrections) ... -0.204 eV/atom
ΔE to the lowest computed polymorph ... 0.000 eV/atom
Density ... 8.4 g/cm³
N(E_F) ... 0.4 states/eV/cell

Unit cell a=3.834 b=3.942 c=7.597 alpha=70.34 beta=90.00 gamma=90.00
Fractional coordinates of all 4 atoms:
Cl  0.000  0.411  0.562
Au  0.000  0.795  0.089
Au  0.500  0.302  0.072
In  0.500  0.991  0.777


No. 11
# InAu2Cl

A geometry-optimized InAu2Cl structure (PBE, the Alexandria database).

E ... -2.967 eV/atom
Size of the total moment ... 0.00 μB/f.u.
Formation energy (no corrections) ... -0.182 eV/atom
ΔE to the lowest computed polymorph ... 0.021 eV/atom
Density ... 8.6 g/cm³
N(E_F) ... 0.9 states/eV/cell

Unit cell a=4.987 b=4.987 c=7.512 alpha=57.48 beta=57.48 gamma=43.81
Fractional coordinates of all 4 atoms:
Cl  0.517  0.517  0.488
Au  0.997  0.997  0.999
Au  0.766  0.766  0.851
In  0.221  0.221  0.162


No. 12
# InAuCl2

A geometry-optimized InAuCl2 structure (PBE, the Alexandria database).

E ... -2.689 eV/atom
Size of the total moment ... 0.00 μB/f.u.
Formation energy (no corrections) ... -0.262 eV/atom
ΔE to the lowest computed polymorph ... 0.305 eV/atom
Density ... 5.8 g/cm³
N(E_F) ... 0.6 states/eV/cell

Unit cell a=3.980 b=3.980 c=7.866 alpha=90.00 beta=90.00 gamma=118.51
Fractional coordinates of all 4 atoms:
Cl  0.000  0.000  0.967
Cl  0.000  0.000  0.533
Au  0.500  0.500  0.750
In  0.500  0.500  0.250